Below is a geometry-optimized SnMoAs3 structure, with properties calculated at the PBEsol level.

Summary:
The uncorrected energy comes out at -5.8651 eV/atom. The density of states at the Fermi level comes out at 4.203 states/eV/cell. Its formation energy is 404 meV/atom. The space-group type is Pm-3m, No. 221.

a = 4.864 Å, b = 4.864 Å, c = 4.864 Å
α = 90.00°, β = 90.00°, γ = 90.00°
Sites, in units of the cell vectors:
Sn: 0.000 0.000 0.000
Mo: 0.500 0.500 0.500
As: 0.000 0.500 0.500
As: 0.500 0.000 0.500
As: 0.500 0.500 0.000

***

Below is a geometry-optimized SnMo3As structure, with properties calculated at the PBEsol level.

Summary:
The uncorrected energy comes out at -6.5308 eV/atom. The density of states at the Fermi level comes out at 9.332 states/eV/cell. Its formation energy is 2403 meV/atom. The space-group type is Pm-3m, No. 221.

a = 4.855 Å, b = 4.855 Å, c = 4.855 Å
α = 90.00°, β = 90.00°, γ = 90.00°
Sites, in units of the cell vectors:
Sn: 0.000 0.000 0.000
Mo: 0.000 0.000 0.500
Mo: 0.000 0.500 0.000
Mo: 0.500 0.000 0.000
As: 0.500 0.500 0.500

***

Below is a geometry-optimized SrMo2As structure, with properties calculated at the PBEsol level.

Summary:
The uncorrected energy comes out at -6.8609 eV/atom. The density of states at the Fermi level comes out at 4.026 states/eV/cell. Its formation energy is 760 meV/atom. The space-group type is C2/m, No. 12.

a = 5.970 Å, b = 5.970 Å, c = 2.733 Å
α = 103.05°, β = 103.05°, γ = 120.99°
Sites, in units of the cell vectors:
Sr: 0.000 0.000 0.000
Mo: 0.000 0.500 0.000
Mo: 0.500 0.000 0.000
As: 0.500 0.500 0.000

***

Below is a geometry-optimized SrMoAs2 structure, with properties calculated at the PBEsol level.

Summary:
The uncorrected energy comes out at -5.7870 eV/atom. The density of states at the Fermi level comes out at 3.465 states/eV/cell. As for the offset from the most stable computed form: 0.612 eV per atom. Its formation energy is 168 meV/atom. The space-group type is Cmmm, No. 65.

a = 4.784 Å, b = 4.784 Å, c = 3.491 Å
α = 90.00°, β = 90.00°, γ = 100.02°
Sites, in units of the cell vectors:
Sr: 0.000 0.000 0.000
Mo: 0.500 0.500 0.000
As: 0.000 0.500 0.500
As: 0.500 0.000 0.500

***

Below is a geometry-optimized SrMoAs2 structure, with properties calculated at the PBEsol level.

Summary:
The uncorrected energy comes out at -5.4086 eV/atom. The density of states at the Fermi level comes out at 2.985 states/eV/cell. As for the offset from the most stable computed form: 0.991 eV per atom. Its formation energy is 547 meV/atom. The space-group type is F-43m, No. 216.

a = 4.811 Å, b = 4.811 Å, c = 4.811 Å
α = 60.00°, β = 60.00°, γ = 60.00°
Sites, in units of the cell vectors:
Sr: 0.000 0.000 0.000
Mo: 0.750 0.750 0.750
As: 0.250 0.250 0.250
As: 0.500 0.500 0.500

***

Below is a geometry-optimized Sr3MoAs structure, with properties calculated at the PBEsol level.

Summary:
The uncorrected energy comes out at -4.0165 eV/atom. The density of states at the Fermi level comes out at 4.188 states/eV/cell. Its formation energy is 463 meV/atom. The space-group type is Pm-3m, No. 221.

a = 5.874 Å, b = 5.874 Å, c = 5.874 Å
α = 90.00°, β = 90.00°, γ = 90.00°
Sites, in units of the cell vectors:
Sr: 0.000 0.000 0.500
Sr: 0.000 0.500 0.000
Sr: 0.500 0.000 0.000
Mo: 0.500 0.500 0.500
As: 0.000 0.000 0.000

***

Below is a geometry-optimized SrMo2As structure, with properties calculated at the PBEsol level.

Summary:
The uncorrected energy comes out at -6.9177 eV/atom. The density of states at the Fermi level comes out at 3.244 states/eV/cell. Its formation energy is 703 meV/atom. The space-group type is Cmmm, No. 65.

a = 2.984 Å, b = 2.984 Å, c = 8.983 Å
α = 90.00°, β = 90.00°, γ = 108.32°
Sites, in units of the cell vectors:
Sr: 0.000 0.000 0.000
Mo: 0.500 0.500 0.302
Mo: 0.500 0.500 0.698
As: 0.000 0.000 0.500

***

Below is a geometry-optimized SrMo2As structure, with properties calculated at the PBEsol level.

Summary:
The uncorrected energy comes out at -6.8232 eV/atom. The density of states at the Fermi level comes out at 4.503 states/eV/cell. Its formation energy is 797 meV/atom. The space-group type is I4/mmm, No. 139.

a = 5.684 Å, b = 5.684 Å, c = 5.684 Å
α = 139.37°, β = 139.37°, γ = 58.81°
Sites, in units of the cell vectors:
Sr: 0.000 0.000 0.000
Mo: 0.250 0.750 0.500
Mo: 0.750 0.250 0.500
As: 0.500 0.500 0.000

***

Below is a geometry-optimized SrMoAs2 structure, with properties calculated at the PBEsol level.

Summary:
The uncorrected energy comes out at -6.3995 eV/atom. The density of states at the Fermi level comes out at 0.982 states/eV/cell. As for the offset from the most stable computed form: 0.000 eV per atom. Its formation energy is -444 meV/atom. The space-group type is R-3m, No. 166.

a = 7.315 Å, b = 7.315 Å, c = 7.315 Å
α = 29.71°, β = 29.71°, γ = 29.71°
Sites, in units of the cell vectors:
Sr: 0.000 0.000 0.000
Mo: 0.500 0.500 0.500
As: 0.234 0.234 0.234
As: 0.766 0.766 0.766

***

Below is a geometry-optimized Ta4MoAs structure, with properties calculated at the PBEsol level.

Summary:
The uncorrected energy comes out at -10.6533 eV/atom. The density of states at the Fermi level comes out at 7.418 states/eV/cell. Its formation energy is 526 meV/atom. The space-group type is F-43m, No. 216.

a = 5.323 Å, b = 5.323 Å, c = 5.323 Å
α = 60.00°, β = 60.00°, γ = 60.00°
Sites, in units of the cell vectors:
Ta: 0.125 0.125 0.125
Ta: 0.125 0.125 0.626
Ta: 0.125 0.626 0.125
Ta: 0.626 0.125 0.125
Mo: 0.750 0.750 0.750
As: 0.500 0.500 0.500

***

Below is a geometry-optimized TaMoAs2 structure, with properties calculated at the PBEsol level.

Summary:
The uncorrected energy comes out at -8.4940 eV/atom. The density of states at the Fermi level comes out at 3.541 states/eV/cell. Its formation energy is 139 meV/atom. The space-group type is Pmmm, No. 47.

a = 3.368 Å, b = 3.928 Å, c = 4.904 Å
α = 90.00°, β = 90.00°, γ = 90.00°
Sites, in units of the cell vectors:
Ta: 0.000 0.000 0.000
Mo: 0.500 0.000 0.500
As: 0.000 0.500 0.500
As: 0.500 0.500 0.000

***

Below is a geometry-optimized TaMoAs2 structure, with properties calculated at the PBEsol level.

Summary:
The uncorrected energy comes out at -8.6139 eV/atom. The density of states at the Fermi level comes out at 3.765 states/eV/cell. Its formation energy is 19 meV/atom. The space-group type is R-3m, No. 166.

a = 8.034 Å, b = 8.034 Å, c = 8.034 Å
α = 22.12°, β = 22.12°, γ = 22.12°
Sites, in units of the cell vectors:
Ta: 0.000 0.000 0.000
Mo: 0.500 0.500 0.500
As: 0.247 0.247 0.247
As: 0.753 0.753 0.753